{"formula": "Nd3Ho5Hg12", "functional": "PBE-GGA", "state": "relaxed", "dos_at_fermi_per_ev_fu": 15.57, "dft_energy_ha_per_atom": -0.0756, "lattice_angstrom": [[15.093, 0.000, 0.000], [-5.031, 14.230, 0.000], [-5.031, -7.115, 12.323]], "species": ["Hg", "Hg", "Hg", "Hg", "Hg", "Hg", "Hg", "Hg", "Hg", "Hg", "Hg", "Hg", "Hg", "Hg", "Hg", "Hg", "Hg", "Hg", "Hg", "Hg", "Hg", "Hg", "Hg", "Hg", "Hg", "Hg", "Hg", "Hg", "Hg", "Hg", "Hg", "Hg", "Hg", "Hg", "Hg", "Hg", "Hg", "Hg", "Hg", "Hg", "Hg", "Hg", "Hg", "Hg", "Hg", "Hg", "Hg", "Hg", "Nd", "Nd", "Nd", "Nd", "Nd", "Nd", "Nd", "Nd", "Nd", "Nd", "Nd", "Nd", "Ho", "Ho", "Ho", "Ho", "Ho", "Ho", "Ho", "Ho", "Ho", "Ho", "Ho", "Ho", "Ho", "Ho", "Ho", "Ho", "Ho", "Ho", "Ho", "Ho"], "fractional_positions": [[0.565, 0.339, 0.922], [0.583, 0.857, 0.422], [0.083, 0.922, 0.357], [0.922, 0.839, 0.565], [0.661, 0.435, 0.578], [0.578, 0.643, 0.417], [0.357, 0.422, 0.083], [0.774, 0.339, 0.917], [0.917, 0.839, 0.774], [0.161, 0.078, 0.935], [0.726, 0.583, 0.161], [0.339, 0.565, 0.422], [0.065, 0.643, 0.726], [0.417, 0.274, 0.339], [0.143, 0.417, 0.078], [0.935, 0.578, 0.161], [0.274, 0.417, 0.839], [0.726, 0.143, 0.065], [0.078, 0.917, 0.143], [0.161, 0.083, 0.726], [0.435, 0.661, 0.078], [0.226, 0.661, 0.083], [0.435, 0.774, 0.857], [0.839, 0.917, 0.274], [0.839, 0.922, 0.065], [0.422, 0.065, 0.339], [0.339, 0.774, 0.417], [0.857, 0.583, 0.922], [0.357, 0.935, 0.774], [0.917, 0.078, 0.643], [0.857, 0.274, 0.435], [0.935, 0.357, 0.274], [0.583, 0.726, 0.661], [0.643, 0.065, 0.226], [0.417, 0.143, 0.578], [0.565, 0.226, 0.143], [0.083, 0.161, 0.226], [0.274, 0.857, 0.935], [0.143, 0.726, 0.565], [0.578, 0.935, 0.661], [0.774, 0.435, 0.357], [0.422, 0.357, 0.583], [0.922, 0.083, 0.857], [0.226, 0.565, 0.643], [0.643, 0.578, 0.917], [0.065, 0.422, 0.839], [0.078, 0.161, 0.435], [0.661, 0.226, 0.583], [0.375, 0.750, 0.625], [0.875, 0.750, 0.125], [0.125, 0.250, 0.875], [0.750, 0.875, 0.625], [0.625, 0.375, 0.750], [0.250, 0.625, 0.875], [0.875, 0.125, 0.250], [0.750, 0.375, 0.125], [0.125, 0.875, 0.750], [0.625, 0.250, 0.375], [0.375, 0.625, 0.250], [0.250, 0.125, 0.375], [0.750, 0.125, 0.875], [0.375, 0.125, 0.750], [0.125, 0.750, 0.375], [0.250, 0.375, 0.625], [0.500, 0.500, 0.500], [0.875, 0.625, 0.750], [0.000, 0.500, 0.500], [0.000, 0.000, 0.000], [0.250, 0.875, 0.125], [0.500, 0.000, 0.500], [0.750, 0.625, 0.375], [0.125, 0.375, 0.250], [0.875, 0.250, 0.625], [0.000, 0.000, 0.500], [0.625, 0.750, 0.875], [0.500, 0.500, 0.000], [0.500, 0.000, 0.000], [0.000, 0.500, 0.000], [0.375, 0.250, 0.125], [0.625, 0.875, 0.250]]}